5
Lattice="3.904 0.000 0.000 0.000 3.904 0.000 0.000 0.000 5.043" Properties=species:S:1:pos:R:3 comment="SbPIrO2, relaxed, DFT GGA-PBE" polymorph_energy_ev_per_atom=0.000 vol_a3_per_cell=76.9 final_energy_ev_per_atom=-5.728 space_group="P4/mmm (123)" pbc="T T T"
Sb 0.000 0.000 0.000
P 1.952 1.952 0.000
Ir 1.952 1.952 2.522
O 0.000 1.952 2.522
O 1.952 0.000 2.522